# 1
This record from Alexandria via LeMat-Bulk describes an optimized crystal structure of Ca3LaZr. The functional is PBE.

abc: 5.711 5.711 5.711
angles: 90.00 90.00 90.00
Space group Pm-3m (No. 221)
Inequivalent atoms, fractional coordinates:
Ca 0.000 0.000 0.500
La 0.000 0.000 0.000
Zr 0.500 0.500 0.500

## Properties
- Magnetization: 0.19 μB/atom
- Energy of formation: 1.204 eV per atom

---

# 2
This record from Alexandria via LeMat-Bulk describes an optimized crystal structure of LaCd2Sb. The functional is PBE.

abc: 4.868 4.884 9.366
angles: 90.00 90.00 90.00
Space group Imm2 (No. 44)
Inequivalent atoms, fractional coordinates:
La 0.000 0.000 0.000
Cd 0.000 0.000 0.501
Cd 0.000 0.500 0.750
Sb 0.000 0.500 0.250

## Properties
- Magnetization: 0.00 μB/atom
- E_form (uncorrected): -0.39 eV/atom

---

# 3
This record from Alexandria via LeMat-Bulk describes an optimized crystal structure of NpUTe2N. The functional is PBE.

abc: 3.710 3.710 17.530
angles: 90.00 90.00 90.00
Space group P4/nmm (No. 129, origin choice 2)
Inequivalent atoms, fractional coordinates:
Np 0.250 0.250 0.029
U 0.250 0.250 0.570
Te 0.250 0.250 0.328
Te 0.250 0.250 0.862
N 0.250 0.750 0.500

## Properties
- Magnetization: 0.21 μB/atom
- E_form (uncorrected): -0.78 eV/atom

---

no.,DOS(E_F) (states/eV per cell)
1,5.463
2,5.802
3,18.352